Entry 1:
The following is a DFT calculation (PBE) of a geometry-optimized V2Si2Sb structure.

Results
Raw formation energy   -10.5 kJ/mol of formula units

```
data_V2Si2Sb
_symmetry_space_group_name_H-M 'P 4/m b m'
_symmetry_Int_Tables_number 127
_symmetry_space_group_name_Hall '-P 4 2ab'
_cell_length_a 6.951
_cell_length_b 6.951
_cell_length_c 3.261
_cell_angle_alpha 90.00
_cell_angle_beta 90.00
_cell_angle_gamma 90.00
loop_
_atom_site_label
_atom_site_type_symbol
_atom_site_fract_x
_atom_site_fract_y
_atom_site_fract_z
_atom_site_occupancy
V1 V 0.155 0.345 0.000 1
Si1 Si 0.129 0.629 0.500 1
Sb1 Sb 0.000 0.000 0.000 1
```

Entry 2:
The following is a DFT calculation (PBE) of a geometry-optimized TaFe2Ir structure.

Results
ΔE_f   -0.21 eV/atom
Polymorph energy (0 for the lowest one)   0.065 eV/atom

```
data_TaFe2Ir
_symmetry_space_group_name_H-M 'F -4 3 m'
_symmetry_Int_Tables_number 216
_symmetry_space_group_name_Hall 'F -4 2 3'
_cell_length_a 6.107
_cell_length_b 6.107
_cell_length_c 6.107
_cell_angle_alpha 90.00
_cell_angle_beta 90.00
_cell_angle_gamma 90.00
loop_
_atom_site_label
_atom_site_type_symbol
_atom_site_fract_x
_atom_site_fract_y
_atom_site_fract_z
_atom_site_occupancy
Ta1 Ta 0.000 0.000 0.000 1
Fe1 Fe 0.000 0.000 0.500 1
Fe2 Fe 0.250 0.250 0.750 1
Ir1 Ir 0.250 0.250 0.250 1
```

Entry 3:
The following is a DFT calculation (PBE) of a geometry-optimized TlHgAsPb structure.

Results
ΔE_f   0.09 eV/atom
Polymorph energy (0 for the lowest one)   0.076 eV/atom

```
data_TlHgAsPb
_symmetry_space_group_name_H-M 'F -4 3 m'
_symmetry_Int_Tables_number 216
_symmetry_space_group_name_Hall 'F -4 2 3'
_cell_length_a 7.616
_cell_length_b 7.616
_cell_length_c 7.616
_cell_angle_alpha 90.00
_cell_angle_beta 90.00
_cell_angle_gamma 90.00
loop_
_atom_site_label
_atom_site_type_symbol
_atom_site_fract_x
_atom_site_fract_y
_atom_site_fract_z
_atom_site_occupancy
Tl1 Tl 0.000 0.000 0.000 1
Hg1 Hg 0.250 0.250 0.750 1
As1 As 0.250 0.250 0.250 1
Pb1 Pb 0.000 0.000 0.500 1
```

Entry 4:
The following is a DFT calculation (PBE) of a geometry-optimized LaAs2RhBr structure.

Results
Raw formation energy   -229.6 kJ/mol of formula units
Polymorph energy (0 for the lowest one)   0.000 eV/atom

```
data_LaAs2RhBr
_symmetry_space_group_name_H-M 'P 4/m m m'
_symmetry_Int_Tables_number 123
_symmetry_space_group_name_Hall '-P 4 2'
_cell_length_a 4.826
_cell_length_b 4.826
_cell_length_c 5.193
_cell_angle_alpha 90.00
_cell_angle_beta 90.00
_cell_angle_gamma 90.00
loop_
_atom_site_label
_atom_site_type_symbol
_atom_site_fract_x
_atom_site_fract_y
_atom_site_fract_z
_atom_site_occupancy
La1 La 0.000 0.000 0.000 1
As1 As 0.000 0.500 0.500 1
Rh1 Rh 0.500 0.500 0.500 1
Br1 Br 0.500 0.500 0.000 1
```

Entry 5:
The following is a DFT calculation (PBE) of a geometry-optimized SmY7 structure.

Results
ΔE_f   0.03 eV/atom
Polymorph energy (0 for the lowest one)   0.010 eV/atom

```
data_SmY7
_symmetry_space_group_name_H-M 'I m m m'
_symmetry_Int_Tables_number 71
_symmetry_space_group_name_Hall '-I 2 2'
_cell_length_a 3.542
_cell_length_b 11.229
_cell_length_c 13.136
_cell_angle_alpha 90.00
_cell_angle_beta 90.00
_cell_angle_gamma 90.00
loop_
_atom_site_label
_atom_site_type_symbol
_atom_site_fract_x
_atom_site_fract_y
_atom_site_fract_z
_atom_site_occupancy
Sm1 Sm 0.000 0.000 0.000 1
Y1 Y 0.000 0.231 0.367 1
Y2 Y 0.000 0.500 0.000 1
Y3 Y 0.000 0.500 0.258 1
```

Entry 6:
The following is a DFT calculation (PBE) of a geometry-optimized Th6Bi5Sb structure.

Results
Raw formation energy   -715.2 kJ/mol of formula units

```
data_Th6Bi5Sb
_symmetry_space_group_name_H-M 'C 1 2/m 1'
_symmetry_Int_Tables_number 12
_symmetry_space_group_name_Hall '-C 2y'
_cell_length_a 7.926
_cell_length_b 13.765
_cell_length_c 7.938
_cell_angle_alpha 90.00
_cell_angle_beta 109.50
_cell_angle_gamma 90.00
loop_
_atom_site_label
_atom_site_type_symbol
_atom_site_fract_x
_atom_site_fract_y
_atom_site_fract_z
_atom_site_occupancy
Th1 Th 0.240 0.000 0.252 1
Th2 Th 0.243 0.162 0.743 1
Bi1 Bi 0.000 0.172 0.000 1
Bi2 Bi 0.000 0.335 0.500 1
Bi3 Bi 0.000 0.500 0.000 1
Sb1 Sb 0.000 0.000 0.500 1
```

Entry 7:
The following is a DFT calculation (PBE) of a geometry-optimized CdSnPb2 structure.

Results
ΔE_f   0.05 eV/atom
Polymorph energy (0 for the lowest one)   0.000 eV/atom

```
data_CdSnPb2
_symmetry_space_group_name_H-M 'P 4/m m m'
_symmetry_Int_Tables_number 123
_symmetry_space_group_name_Hall '-P 4 2'
_cell_length_a 4.893
_cell_length_b 4.893
_cell_length_c 4.829
_cell_angle_alpha 90.00
_cell_angle_beta 90.00
_cell_angle_gamma 90.00
loop_
_atom_site_label
_atom_site_type_symbol
_atom_site_fract_x
_atom_site_fract_y
_atom_site_fract_z
_atom_site_occupancy
Cd1 Cd 0.000 0.000 0.000 1
Sn1 Sn 0.500 0.500 0.000 1
Pb1 Pb 0.000 0.500 0.500 1
```

Entry 8:
The following is a DFT calculation (PBE) of a geometry-optimized RbTl2Ga2 structure.

Results
ΔE_f   0.06 eV/atom
Polymorph energy (0 for the lowest one)   0.119 eV/atom

```
data_RbTl2Ga2
_symmetry_space_group_name_H-M 'P 4/m b m'
_symmetry_Int_Tables_number 127
_symmetry_space_group_name_Hall '-P 4 2ab'
_cell_length_a 9.227
_cell_length_b 9.227
_cell_length_c 3.457
_cell_angle_alpha 90.00
_cell_angle_beta 90.00
_cell_angle_gamma 90.00
loop_
_atom_site_label
_atom_site_type_symbol
_atom_site_fract_x
_atom_site_fract_y
_atom_site_fract_z
_atom_site_occupancy
Rb1 Rb 0.000 0.000 0.000 1
Tl1 Tl 0.135 0.365 0.000 1
Ga1 Ga 0.153 0.653 0.500 1
```

Entry 9:
The following is a DFT calculation (PBE) of a geometry-optimized TmGeBi2 structure.

Results
ΔE_f   0.26 eV/atom

```
data_TmGeBi2
_symmetry_space_group_name_H-M 'R -3 m'
_symmetry_Int_Tables_number 166
_symmetry_space_group_name_Hall '-R 3 2"'
_cell_length_a 3.7077
_cell_length_b 3.7077
_cell_length_c 31.2957
_cell_angle_alpha 90.00
_cell_angle_beta 90.00
_cell_angle_gamma 120.00
loop_
_atom_site_label
_atom_site_type_symbol
_atom_site_fract_x
_atom_site_fract_y
_atom_site_fract_z
_atom_site_occupancy
Tm1 Tm 0.0000 0.0000 0.0000 1
Ge1 Ge 0.0000 0.0000 0.5000 1
Bi1 Bi 0.0000 0.0000 0.1007 1
```

Entry 10:
The following is a DFT calculation (PBE) of a geometry-optimized ErTmTl3 structure.

Results
ΔE_f   0.03 eV/atom

```
data_ErTmTl3
_symmetry_space_group_name_H-M 'P 63/m m c'
_symmetry_Int_Tables_number 194
_symmetry_space_group_name_Hall '-P 6c 2c'
_cell_length_a 7.3883
_cell_length_b 7.3883
_cell_length_c 6.3075
_cell_angle_alpha 90.00
_cell_angle_beta 90.00
_cell_angle_gamma 120.00
loop_
_atom_site_label
_atom_site_type_symbol
_atom_site_fract_x
_atom_site_fract_y
_atom_site_fract_z
_atom_site_occupancy
Er1 Er 0.3333 0.6667 0.2500 1
Tm1 Tm 0.0000 0.0000 0.0000 1
Tl1 Tl 0.1989 0.3979 0.7500 1
```

Entry 11:
The following is a DFT calculation (PBE) of a geometry-optimized NaCr2P structure.

Results
ΔE_f   0.52 eV/atom
Polymorph energy (0 for the lowest one)   0.000 eV/atom

```
data_NaCr2P
_symmetry_space_group_name_H-M 'F m -3 m'
_symmetry_Int_Tables_number 225
_symmetry_space_group_name_Hall '-F 4 2 3'
_cell_length_a 6.003
_cell_length_b 6.003
_cell_length_c 6.003
_cell_angle_alpha 90.00
_cell_angle_beta 90.00
_cell_angle_gamma 90.00
loop_
_atom_site_label
_atom_site_type_symbol
_atom_site_fract_x
_atom_site_fract_y
_atom_site_fract_z
_atom_site_occupancy
Na1 Na 0.000 0.000 0.000 1
Cr1 Cr 0.250 0.250 0.250 1
P1 P 0.000 0.000 0.500 1
```

Entry 12:
The following is a DFT calculation (PBE) of a geometry-optimized Cu2PbF7 structure.

Results
Raw formation energy   -1570.8 kJ/mol of formula units

```
data_Cu2PbF7
_symmetry_space_group_name_H-M 'C m m m'
_symmetry_Int_Tables_number 65
_symmetry_space_group_name_Hall '-C 2 2'
_cell_length_a 6.462
_cell_length_b 10.643
_cell_length_c 3.765
_cell_angle_alpha 90.00
_cell_angle_beta 90.00
_cell_angle_gamma 90.00
loop_
_atom_site_label
_atom_site_type_symbol
_atom_site_fract_x
_atom_site_fract_y
_atom_site_fract_z
_atom_site_occupancy
Cu1 Cu 0.000 0.180 0.000 1
Pb1 Pb 0.000 0.500 0.500 1
F1 F 0.000 0.000 0.000 1
F2 F 0.000 0.191 0.500 1
F3 F 0.187 0.362 0.000 1
```